A plane-wave DFT calculation with PBE was carried out for a relaxed structure of SbS24I3.

Cell: 15.3606 15.3606 15.3606 Å, 118.82 118.82 118.82°
Closest atoms and distances in Å follow each position.
Fractional positions:
S 0.0160 0.6102 0.6102  2 S 2.06
S 0.8434 0.2341 0.7162  2 S 2.06
S 0.7162 0.2341 0.8434  2 S 2.06
S 0.6291 0.1015 0.4494  2 S 2.06
S 0.6183 0.3568 0.7457  2 S 2.06
S 0.4494 0.1015 0.6291  2 S 2.06
S 0.6183 0.7457 0.3568  2 S 2.06
S 0.3568 0.6183 0.7457  2 S 2.06
S 0.4706 0.4706 0.1889  2 S 2.06
S 0.7457 0.6183 0.3568  2 S 2.06
S 0.7457 0.3568 0.6183  2 S 2.06
S 0.1889 0.4706 0.4706  2 S 2.06
S 0.1015 0.6291 0.4494  2 S 2.06
S 0.6102 0.0160 0.6102  2 S 2.06
S 0.2341 0.7162 0.8434  2 S 2.06
S 0.8434 0.7162 0.2341  2 S 2.06
S 0.1015 0.4494 0.6291  2 S 2.06
S 0.6291 0.4494 0.1015  2 S 2.06
S 0.4706 0.1889 0.4706  2 S 2.06
S 0.4494 0.6291 0.1015  2 S 2.06
S 0.7162 0.8434 0.2341  2 S 2.06
S 0.2341 0.8434 0.7162  2 S 2.06
S 0.6102 0.6102 0.0160  2 S 2.06
S 0.3568 0.7457 0.6183  2 S 2.06
Sb 0.2729 0.2729 0.2729  3 I 2.77
I 0.9533 0.9533 0.1124  1 Sb 2.77
I 0.9533 0.1124 0.9533  1 Sb 2.77
I 0.1124 0.9533 0.9533  1 Sb 2.77

Its raw formation energy is -0.0399 eV per atom. The calculation puts the density at 2.08 g/cm³. Its density of states at the Fermi level is 0.00 states/eV/f.u. As for the calculated total energy: -3.891 eV/atom. As for the magnetization: 0.0 μB per formula unit.